Model a:
The following is a PBE calculation of CsTlHgSe after structural relaxation, from Alexandria via LeMat-Bulk.

Cell lengths 5.865, 5.865, 5.865 Å; angles 60.00, 60.00, 60.00 degrees
Fractional coordinates of all 4 atoms:
Cs1 0.000 0.000 0.000
Tl1 0.500 0.500 0.500
Hg1 0.250 0.250 0.250
Se1 0.750 0.750 0.750

## Properties
total magnetic moment	0.00	μB per cell

---

Model b:
The following is a PBE calculation of CsTlHgSe after structural relaxation, from Alexandria via LeMat-Bulk.

Cell lengths 7.294, 7.294, 7.294 Å; angles 145.72, 132.15, 60.17 degrees
Fractional coordinates of all 4 atoms:
Cs1 0.000 0.000 0.000
Tl1 0.722 0.222 0.500
Hg1 0.325 0.325 0.000
Se1 0.567 0.567 0.000

## Properties
total magnetic moment	0.00	μB per cell

---

It is model a that is the least stable of them.

---

Model a:
The following is a PBE calculation of Cs2SnHg2 after structural relaxation, from Alexandria via LeMat-Bulk.

Cell lengths 7.173, 7.173, 9.504 Å; angles 100.41, 100.41, 61.53 degrees
Fractional coordinates of all 10 atoms:
Cs1 0.040 0.263 0.154
Cs2 0.263 0.040 0.654
Cs3 0.737 0.960 0.346
Cs4 0.960 0.737 0.846
Sn1 0.382 0.618 0.250
Sn2 0.618 0.382 0.750
Hg1 0.262 0.492 0.502
Hg2 0.492 0.262 0.002
Hg3 0.508 0.738 0.998
Hg4 0.738 0.508 0.498

## Properties
total magnetic moment	0.00	μB per cell

---

Model b:
The following is a PBE calculation of Cs2SnHg2 after structural relaxation, from Alexandria via LeMat-Bulk.

Cell lengths 8.134, 8.134, 6.129 Å; angles 90.00, 90.00, 90.00 degrees
Fractional coordinates of all 10 atoms:
Cs1 0.176 0.324 0.000
Cs2 0.324 0.824 0.000
Cs3 0.676 0.176 0.000
Cs4 0.824 0.676 0.000
Sn1 0.000 0.000 0.500
Sn2 0.500 0.500 0.500
Hg1 0.143 0.643 0.500
Hg2 0.357 0.143 0.500
Hg3 0.643 0.857 0.500
Hg4 0.857 0.357 0.500

## Properties
total magnetic moment	0.00	μB per cell

---

Model c:
The following is a PBE calculation of Cs2SnHg2 after structural relaxation, from Alexandria via LeMat-Bulk.

Cell lengths 6.877, 6.877, 6.877 Å; angles 113.83, 113.83, 101.07 degrees
Fractional coordinates of all 5 atoms:
Cs1 0.250 0.750 0.500
Cs2 0.750 0.250 0.500
Sn1 0.000 0.000 0.000
Hg1 0.332 0.332 0.000
Hg2 0.668 0.668 0.000

## Properties
total magnetic moment	0.28	μB per cell

---

Model d:
The following is a PBE calculation of Cs2SnHg2 after structural relaxation, from Alexandria via LeMat-Bulk.

Cell lengths 12.099, 12.099, 12.099 Å; angles 159.07, 159.07, 29.77 degrees
Fractional coordinates of all 5 atoms:
Cs1 0.106 0.106 0.000
Cs2 0.894 0.894 0.000
Sn1 0.500 0.500 0.000
Hg1 0.250 0.750 0.500
Hg2 0.750 0.250 0.500

## Properties
total magnetic moment	0.61	μB per cell

---

It is model d that is the least stable of them.

---

Model a:
The following is a PBE calculation of Cs2Sn2Hg after structural relaxation, from Alexandria via LeMat-Bulk.

Cell lengths 11.433, 11.433, 3.677 Å; angles 90.00, 90.00, 90.00 degrees
Fractional coordinates of all 10 atoms:
Cs1 0.205 0.295 0.000
Cs2 0.295 0.795 0.000
Cs3 0.705 0.205 0.000
Cs4 0.795 0.705 0.000
Sn1 0.087 0.587 0.500
Sn2 0.413 0.087 0.500
Sn3 0.587 0.913 0.500
Sn4 0.913 0.413 0.500
Hg1 0.000 0.000 0.000
Hg2 0.500 0.500 0.000

## Properties
total magnetic moment	0.00	μB per cell

---

Model b:
The following is a PBE calculation of Cs2Sn2Hg after structural relaxation, from Alexandria via LeMat-Bulk.

Cell lengths 12.309, 12.309, 12.309 Å; angles 159.64, 159.64, 28.95 degrees
Fractional coordinates of all 5 atoms:
Cs1 0.108 0.108 0.000
Cs2 0.892 0.892 0.000
Sn1 0.250 0.750 0.500
Sn2 0.750 0.250 0.500
Hg1 0.500 0.500 0.000

## Properties
total magnetic moment	0.00	μB per cell

---

Model c:
The following is a PBE calculation of Cs2Sn2Hg after structural relaxation, from Alexandria via LeMat-Bulk.

Cell lengths 7.456, 7.456, 7.456 Å; angles 121.01, 121.01, 88.26 degrees
Fractional coordinates of all 5 atoms:
Cs1 0.250 0.750 0.500
Cs2 0.750 0.250 0.500
Sn1 0.122 0.122 0.000
Sn2 0.878 0.878 0.000
Hg1 0.500 0.500 0.000

## Properties
total magnetic moment	0.00	μB per cell

---

Model d:
The following is a PBE calculation of Cs2Sn2Hg after structural relaxation, from Alexandria via LeMat-Bulk.

Cell lengths 7.143, 7.246, 10.023 Å; angles 83.63, 84.21, 68.03 degrees
Fractional coordinates of all 10 atoms:
Cs1 0.117 0.259 0.319
Cs2 0.243 0.096 0.813
Cs3 0.757 0.904 0.187
Cs4 0.883 0.741 0.681
Sn1 0.291 0.569 0.974
Sn2 0.410 0.708 0.498
Sn3 0.590 0.292 0.502
Sn4 0.709 0.431 0.026
Hg1 0.332 0.687 0.229
Hg2 0.668 0.313 0.771

## Properties
total magnetic moment	0.00	μB per cell

---

It is model a that is the least stable of them.